# 1
This record from Alexandria via LeMat-Bulk describes a relaxed SrAsRh crystal. The functional is GGA-PBEsol.

Cell and atoms, written as POSCAR:
```
SrAsRh
1.0
0.000 3.342 3.342
3.342 0.000 3.342
3.342 3.342 0.000
Sr As Rh
1 1 1
direct
0.000 0.000 0.000 Sr
0.750 0.750 0.750 As
0.250 0.250 0.250 Rh
```

Results
- energy of formation (meV/atom) = 543
- magnetization (Bohr magnetons per cell) = 0.000
- Fermi-level density of states (states/eV per cell) = 2.5
- space group = F-43m


# 2
This record from Alexandria via LeMat-Bulk describes a relaxed NiMo2P crystal. The functional is GGA-PBEsol.

Cell and atoms, written as POSCAR:
```
NiMo2P
1.0
-1.485 2.097 4.130
1.485 -2.097 4.130
1.485 2.097 -4.130
Ni Mo P
1 2 1
direct
0.000 0.000 0.000 Ni
0.440 0.440 0.000 Mo
0.727 0.227 0.500 Mo
0.199 0.699 0.500 P
```

Results
- energy of formation (meV/atom) = -297
- magnetization (Bohr magnetons per cell) = 0.000
- Fermi-level density of states (states/eV per cell) = 3.1
- space group = Imm2


# 3
This record from Alexandria via LeMat-Bulk describes a relaxed Hf3AlGe5 crystal. The functional is GGA-PBEsol.

Cell and atoms, written as POSCAR:
```
Hf3AlGe5
1.0
3.751 0.000 0.000
0.000 1.886 21.972
0.000 -1.886 21.972
Hf Al Ge
6 2 10
direct
0.000 0.000 0.000 Hf
0.000 0.332 0.332 Hf
0.000 0.665 0.665 Hf
0.500 0.265 0.265 Hf
0.500 0.597 0.597 Hf
0.500 0.931 0.931 Hf
0.500 0.381 0.381 Al
0.500 0.715 0.715 Al
0.000 0.112 0.112 Ge
0.000 0.215 0.215 Ge
0.000 0.442 0.442 Ge
0.000 0.549 0.549 Ge
0.000 0.776 0.776 Ge
0.000 0.881 0.881 Ge
0.500 0.048 0.048 Ge
0.500 0.155 0.155 Ge
0.500 0.484 0.484 Ge
0.500 0.820 0.820 Ge
```

Results
- energy of formation (meV/atom) = -576
- magnetization (Bohr magnetons per cell) = 0.000
- Fermi-level density of states (states/eV per cell) = 4.5
- space group = Amm2


# 4
This record from Alexandria via LeMat-Bulk describes a relaxed ZnCdHg crystal. The functional is GGA-PBEsol.

Cell and atoms, written as POSCAR:
```
ZnCdHg
1.0
-1.869 1.885 4.149
1.869 -1.885 4.149
1.869 1.885 -4.149
Zn Cd Hg
1 1 1
direct
0.000 0.000 0.000 Zn
0.668 0.668 0.000 Cd
0.332 0.332 0.000 Hg
```

Results
- energy of formation (meV/atom) = 47
- magnetization (Bohr magnetons per cell) = 0.000
- Fermi-level density of states (states/eV per cell) = 0.7
- energy relative to the lowest polymorph listed for this composition (meV per atom) = 0
- space group = Imm2